(1)
RbCaSb2: relaxed, GGA-PBE. Values from VASP.

Results
offset from the most stable computed form = 98 kJ/mol of formula units
formation energy from raw total energies = -0.38 eV/atom
M_tot = 0.00 μB per formula unit
crystal system = trigonal

Geometry as Quantum ESPRESSO input:
```
&SYSTEM
  ibrav = 0, nat = 4, ntyp = 3
/
ATOMIC_SPECIES
Rb 85.47 Rb.upf
Ca 40.08 Ca.upf
Sb 121.76 Sb.upf
ATOMIC_POSITIONS angstrom
Rb 3.8821 2.2413 5.2841
Ca 0.0000 0.0000 0.0000
Sb 1.9410 1.1207 2.3549
Sb 5.8231 3.3620 8.2132
CELL_PARAMETERS angstrom
3.8821 0.0000 0.0000
1.9410 3.3620 0.0000
1.9410 1.1207 10.5681
```

(2)
RbCa2Sb2: relaxed, GGA-PBE. Values from VASP.

Results
offset from the most stable computed form = 41 kJ/mol of formula units
formation energy from raw total energies = -0.68 eV/atom
M_tot = 0.61 μB per formula unit
crystal system = tetragonal

Geometry as Quantum ESPRESSO input:
```
&SYSTEM
  ibrav = 0, nat = 5, ntyp = 3
/
ATOMIC_SPECIES
Ca 40.08 Ca.upf
Rb 85.47 Rb.upf
Sb 121.76 Sb.upf
ATOMIC_POSITIONS angstrom
Ca -6.4944 1.5841 -1.6603
Ca -5.2085 4.4832 0.4648
Rb 0.0000 0.0000 0.0000
Sb -3.4815 2.1209 -0.7866
Sb -8.2214 3.9464 -0.4089
CELL_PARAMETERS angstrom
-1.0151 5.2970 0.2464
-3.5870 -0.5012 -4.0040
-7.1008 1.2715 2.5621
```

(3)
RbCaSb: relaxed, GGA-PBE. Values from VASP.

Results
formation energy from raw total energies = -0.81 eV/atom
M_tot = 0.00 μB per formula unit
crystal system = tetragonal

Geometry as Quantum ESPRESSO input:
```
&SYSTEM
  ibrav = 0, nat = 6, ntyp = 3
/
ATOMIC_SPECIES
Sb 121.76 Sb.upf
Rb 85.47 Rb.upf
Ca 40.08 Ca.upf
ATOMIC_POSITIONS angstrom
Sb 3.7142 -6.2522 -1.3476
Sb -1.4919 -2.4269 -1.4171
Rb 2.5717 -2.6971 -1.7849
Rb -0.3494 -5.9820 -0.9799
Ca 0.0000 0.0000 0.0000
Ca -0.3792 -0.5844 -3.7604
CELL_PARAMETERS angstrom
-4.0029 -1.6830 -3.2242
3.2445 0.5143 -4.2965
2.6015 -8.0948 0.9956
```

(4)
RbCa2Sb2: relaxed, GGA-PBE. Values from VASP.

Results
offset from the most stable computed form = 0 kJ/mol of formula units
formation energy from raw total energies = -0.77 eV/atom
M_tot = 0.00 μB per formula unit
crystal system = tetragonal

Geometry as Quantum ESPRESSO input:
```
&SYSTEM
  ibrav = 0, nat = 10, ntyp = 3
/
ATOMIC_SPECIES
Ca 40.08 Ca.upf
Sb 121.76 Sb.upf
Rb 85.47 Rb.upf
ATOMIC_POSITIONS angstrom
Ca 5.9207 1.2276 0.0000
Ca 8.1588 5.9207 0.0000
Ca 3.4656 8.1588 0.0000
Ca 1.2276 3.4656 0.0000
Sb 1.5405 6.2336 1.8429
Sb 3.1527 1.5405 1.8429
Sb 7.8459 3.1527 1.8429
Sb 6.2336 7.8459 1.8429
Rb 0.0000 0.0000 0.0000
Rb 4.6932 4.6932 0.0000
CELL_PARAMETERS angstrom
9.3863 0.0000 0.0000
0.0000 9.3863 0.0000
0.0000 0.0000 3.6858
```

(5)
RbCa2Sb2: relaxed, GGA-PBE. Values from VASP.

Results
offset from the most stable computed form = 119 kJ/mol of formula units
formation energy from raw total energies = -0.52 eV/atom
M_tot = 0.00 μB per formula unit
crystal system = tetragonal

Geometry as Quantum ESPRESSO input:
```
&SYSTEM
  ibrav = 0, nat = 5, ntyp = 3
/
ATOMIC_SPECIES
Sb 121.76 Sb.upf
Ca 40.08 Ca.upf
Rb 85.47 Rb.upf
ATOMIC_POSITIONS angstrom
Sb 6.0036 3.0018 3.0760
Sb 3.0018 6.0036 3.0760
Ca 6.0036 6.0036 3.7812
Ca 3.0018 3.0018 2.3708
Rb 0.0000 0.0000 0.0000
CELL_PARAMETERS angstrom
6.0036 0.0000 0.0000
0.0000 6.0036 0.0000
3.0018 3.0018 6.1520
```

(6)
RbCa3Sb: relaxed, GGA-PBE. Values from VASP.

Results
offset from the most stable computed form = 577 kJ/mol of formula units
formation energy from raw total energies = 0.95 eV/atom
M_tot = 2.05 μB per formula unit
crystal system = cubic

Geometry as Quantum ESPRESSO input:
```
&SYSTEM
  ibrav = 0, nat = 5, ntyp = 3
/
ATOMIC_SPECIES
Ca 40.08 Ca.upf
Sb 121.76 Sb.upf
Rb 85.47 Rb.upf
ATOMIC_POSITIONS angstrom
Ca 0.0000 2.9905 0.0000
Ca 0.0000 0.0000 2.9905
Ca 2.9905 0.0000 0.0000
Sb 2.9905 2.9905 2.9905
Rb 0.0000 0.0000 0.0000
CELL_PARAMETERS angstrom
5.9809 0.0000 0.0000
0.0000 5.9809 0.0000
0.0000 0.0000 5.9809
```

(7)
Rb2Ca2Sb: relaxed, GGA-PBE. Values from VASP.

Results
offset from the most stable computed form = 207 kJ/mol of formula units
formation energy from raw total energies = 0.21 eV/atom
M_tot = 0.00 μB per formula unit
crystal system = tetragonal

Geometry as Quantum ESPRESSO input:
```
&SYSTEM
  ibrav = 0, nat = 10, ntyp = 3
/
ATOMIC_SPECIES
Ca 40.08 Ca.upf
Rb 85.47 Rb.upf
Sb 121.76 Sb.upf
ATOMIC_POSITIONS angstrom
Ca 7.0823 2.7069 3.1406
Ca 6.0440 7.0823 3.1406
Ca 1.6686 6.0440 3.1406
Ca 2.7069 1.6686 3.1406
Rb 5.5349 1.1595 0.0000
Rb 7.5915 5.5349 0.0000
Rb 3.2160 7.5915 0.0000
Rb 1.1595 3.2160 0.0000
Sb 0.0000 0.0000 0.0000
Sb 4.3755 4.3755 0.0000
CELL_PARAMETERS angstrom
8.7509 0.0000 0.0000
0.0000 8.7509 0.0000
0.0000 0.0000 6.2812
```

(8)
RbCa3Sb: relaxed, GGA-PBE. Values from VASP.

Results
offset from the most stable computed form = 0 kJ/mol of formula units
formation energy from raw total energies = -0.25 eV/atom
M_tot = 1.70 μB per formula unit
crystal system = cubic

Geometry as Quantum ESPRESSO input:
```
&SYSTEM
  ibrav = 0, nat = 5, ntyp = 3
/
ATOMIC_SPECIES
Ca 40.08 Ca.upf
Sb 121.76 Sb.upf
Rb 85.47 Rb.upf
ATOMIC_POSITIONS angstrom
Ca -1.6500 -2.5178 0.7300
Ca 1.4320 -1.5882 -2.2410
Ca -2.1959 0.8562 -2.0100
Sb 0.0000 0.0000 0.0000
Rb -2.4139 -3.2498 -3.5209
CELL_PARAMETERS angstrom
-4.3918 1.7125 -4.0200
2.8640 -3.1764 -4.4820
-3.3000 -5.0357 1.4601
```

(9)
Rb2Ca2Sb: relaxed, GGA-PBE. Values from VASP.

Results
offset from the most stable computed form = 0 kJ/mol of formula units
formation energy from raw total energies = -0.22 eV/atom
M_tot = 0.00 μB per formula unit
crystal system = tetragonal

Geometry as Quantum ESPRESSO input:
```
&SYSTEM
  ibrav = 0, nat = 10, ntyp = 3
/
ATOMIC_SPECIES
Sb 121.76 Sb.upf
Ca 40.08 Ca.upf
Rb 85.47 Rb.upf
ATOMIC_POSITIONS angstrom
Sb 4.1855 4.1855 0.0000
Sb 0.0000 0.0000 0.0000
Ca 6.9942 5.5622 0.0000
Ca 2.8088 6.9942 0.0000
Ca 1.3767 2.8088 0.0000
Ca 5.5622 1.3767 0.0000
Rb 1.5239 5.7094 3.5915
Rb 2.6616 1.5239 3.5915
Rb 6.8471 2.6616 3.5915
Rb 5.7094 6.8471 3.5915
CELL_PARAMETERS angstrom
8.3710 0.0000 0.0000
0.0000 8.3710 0.0000
0.0000 0.0000 7.1830
```

(10)
Rb2Ca2Sb: relaxed, GGA-PBE. Values from VASP.

Results
offset from the most stable computed form = 219 kJ/mol of formula units
formation energy from raw total energies = 0.23 eV/atom
M_tot = 0.32 μB per formula unit
crystal system = tetragonal

Geometry as Quantum ESPRESSO input:
```
&SYSTEM
  ibrav = 0, nat = 5, ntyp = 3
/
ATOMIC_SPECIES
Ca 40.08 Ca.upf
Rb 85.47 Rb.upf
Sb 121.76 Sb.upf
ATOMIC_POSITIONS angstrom
Ca 2.4411 4.8821 5.6104
Ca 4.8821 2.4411 5.6104
Rb 4.8821 4.8821 9.3888
Rb 2.4411 2.4411 1.8321
Sb 0.0000 0.0000 0.0000
CELL_PARAMETERS angstrom
4.8821 0.0000 0.0000
0.0000 4.8821 0.0000
2.4411 2.4411 11.2209
```

(11)
RbCaSb2: relaxed, GGA-PBE. Values from VASP.

Results
offset from the most stable computed form = 120 kJ/mol of formula units
formation energy from raw total energies = -0.33 eV/atom
M_tot = 0.00 μB per formula unit
crystal system = cubic

Geometry as Quantum ESPRESSO input:
```
&SYSTEM
  ibrav = 0, nat = 4, ntyp = 3
/
ATOMIC_SPECIES
Rb 85.47 Rb.upf
Ca 40.08 Ca.upf
Sb 121.76 Sb.upf
ATOMIC_POSITIONS angstrom
Rb -1.1069 3.1453 6.1784
Ca 0.0000 0.0000 0.0000
Sb -0.5534 1.5727 3.0892
Sb -1.6603 4.7180 9.2676
CELL_PARAMETERS angstrom
1.8591 4.0755 3.5769
-3.7547 3.0128 3.1122
-0.3182 -0.7977 5.6677
```

(12)
RbCa2Sb: relaxed, GGA-PBE. Values from VASP.

Results
formation energy from raw total energies = -0.27 eV/atom
M_tot = 0.00 μB per formula unit
crystal system = tetragonal

Geometry as Quantum ESPRESSO input:
```
&SYSTEM
  ibrav = 0, nat = 8, ntyp = 3
/
ATOMIC_SPECIES
Sb 121.76 Sb.upf
Rb 85.47 Rb.upf
Ca 40.08 Ca.upf
ATOMIC_POSITIONS angstrom
Sb 0.0000 0.0000 0.0000
Sb -4.7601 -0.1257 10.5373
Rb -4.4740 -1.7899 5.3738
Rb -5.7892 -6.6029 7.5231
Ca -4.0070 -2.8786 9.2794
Ca -9.5799 -6.3193 15.1244
Ca -3.5853 1.5769 8.2031
Ca -3.9264 -5.8362 3.5140
CELL_PARAMETERS angstrom
-3.4450 4.6873 8.3880
-5.5031 -8.2671 2.3596
-1.6013 -3.1487 7.3129
```

(13)
Rb3CaSb: relaxed, GGA-PBE. Values from VASP.

Results
offset from the most stable computed form = 0 kJ/mol of formula units
formation energy from raw total energies = 0.06 eV/atom
M_tot = 0.00 μB per formula unit
crystal system = cubic

Geometry as Quantum ESPRESSO input:
```
&SYSTEM
  ibrav = 0, nat = 5, ntyp = 3
/
ATOMIC_SPECIES
Ca 40.08 Ca.upf
Rb 85.47 Rb.upf
Sb 121.76 Sb.upf
ATOMIC_POSITIONS angstrom
Ca 3.4232 -4.4280 -2.6020
Rb 3.1967 0.4841 -1.4985
Rb 1.2210 -2.9034 1.6668
Rb -0.9945 -2.0087 -2.7704
Sb 0.0000 0.0000 0.0000
CELL_PARAMETERS angstrom
-1.9889 -4.0174 -5.5407
6.3934 0.9681 -2.9969
2.4420 -5.8068 3.3337
```

(14)
RbCaSb: relaxed, GGA-PBE. Values from VASP.

Results
formation energy from raw total energies = -0.52 eV/atom
M_tot = 0.00 μB per formula unit
crystal system = tetragonal

Geometry as Quantum ESPRESSO input:
```
&SYSTEM
  ibrav = 0, nat = 3, ntyp = 3
/
ATOMIC_SPECIES
Rb 85.47 Rb.upf
Sb 121.76 Sb.upf
Ca 40.08 Ca.upf
ATOMIC_POSITIONS angstrom
Rb -0.0597 0.0942 0.0485
Sb -3.7834 1.8881 -0.8428
Ca -1.7442 2.7539 1.4185
CELL_PARAMETERS angstrom
-0.9138 1.5008 -4.0372
-3.7262 -2.3454 -0.0285
-0.9472 5.5809 4.6899
```

(15)
Rb2CaSbSe4: relaxed, GGA-PBE. Values from VASP.

Results
formation energy from raw total energies = -0.90 eV/atom
M_tot = 0.00 μB per formula unit
crystal system = orthorhombic

Geometry as Quantum ESPRESSO input:
```
&SYSTEM
  ibrav = 0, nat = 16, ntyp = 4
/
ATOMIC_SPECIES
Sb 121.76 Sb.upf
Se 78.96 Se.upf
Ca 40.08 Ca.upf
Rb 85.47 Rb.upf
ATOMIC_POSITIONS angstrom
Sb 5.1343 3.7342 6.4102
Sb 3.4229 0.0000 0.0000
Se 6.7136 5.3759 5.0484
Se 3.5550 2.0924 5.0484
Se 11.8479 5.8265 11.4587
Se 5.2665 1.6418 11.4587
Se 6.7136 2.0924 7.7720
Se 10.4008 5.3759 7.7720
Se 5.0022 1.6418 1.3618
Se 5.2665 5.8265 1.3618
Ca 8.5572 3.7342 6.4102
Ca 0.0000 0.0000 0.0000
Rb 6.8457 0.0000 4.7393
Rb 8.5572 3.7342 11.1496
Rb 8.5572 3.7342 1.6709
Rb 3.4229 0.0000 8.0811
CELL_PARAMETERS angstrom
6.8457 0.0000 0.0000
3.4229 7.4683 0.0000
3.4229 0.0000 12.8205
```

(16)
RbCaTi2Sb: relaxed, GGA-PBE. Values from VASP.

Results
formation energy from raw total energies = 1.61 eV/atom
M_tot = 2.21 μB per formula unit
crystal system = tetragonal

Geometry as Quantum ESPRESSO input:
```
&SYSTEM
  ibrav = 0, nat = 5, ntyp = 4
/
ATOMIC_SPECIES
Ti 47.87 Ti.upf
Sb 121.76 Sb.upf
Ca 40.08 Ca.upf
Rb 85.47 Rb.upf
ATOMIC_POSITIONS angstrom
Ti 2.4331 0.0000 0.0000
Ti 0.0000 0.0000 2.4331
Sb 2.4331 2.7079 2.4331
Ca 0.0000 2.7079 0.0000
Rb 0.0000 0.0000 0.0000
CELL_PARAMETERS angstrom
4.8661 0.0000 0.0000
0.0000 5.4159 0.0000
0.0000 0.0000 4.8661
```

(17)
Rb2CaZnSb: relaxed, GGA-PBE. Values from VASP.

Results
formation energy from raw total energies = -0.06 eV/atom
M_tot = 0.00 μB per formula unit
crystal system = tetragonal

Geometry as Quantum ESPRESSO input:
```
&SYSTEM
  ibrav = 0, nat = 5, ntyp = 4
/
ATOMIC_SPECIES
Rb 85.47 Rb.upf
Zn 65.41 Zn.upf
Sb 121.76 Sb.upf
Ca 40.08 Ca.upf
ATOMIC_POSITIONS angstrom
Rb 3.5058 -0.3012 0.7737
Rb -0.3193 2.6101 2.4628
Zn 2.5519 0.2678 5.3175
Sb 0.0000 0.0000 0.0000
Ca -0.6347 -2.0412 2.0810
CELL_PARAMETERS angstrom
-0.6386 5.2203 4.9256
-1.2693 -4.0823 4.1620
7.0116 -0.6024 1.5475
```

(18)
Rb2CaZnSb2: relaxed, GGA-PBE. Values from VASP.

Results
formation energy from raw total energies = -0.56 eV/atom
M_tot = 0.00 μB per formula unit
crystal system = orthorhombic

Geometry as Quantum ESPRESSO input:
```
&SYSTEM
  ibrav = 0, nat = 12, ntyp = 4
/
ATOMIC_SPECIES
Sb 121.76 Sb.upf
Ca 40.08 Ca.upf
Rb 85.47 Rb.upf
Zn 65.41 Zn.upf
ATOMIC_POSITIONS angstrom
Sb -4.7309 4.1967 3.0394
Sb -0.7780 5.8090 5.3244
Sb -4.4781 -2.1226 2.1098
Sb -0.5252 -0.5104 4.3949
Ca 0.8550 -0.2027 1.6108
Ca 2.5651 -0.6082 4.8324
Rb -3.5983 -1.5374 5.8968
Rb -1.6577 5.2238 1.5374
Rb -2.3671 2.6417 5.7693
Rb -2.8890 1.0446 1.6650
Zn 0.0223 -2.8958 5.8942
Zn -1.6878 -2.4903 2.6726
CELL_PARAMETERS angstrom
-5.0856 -4.5751 2.1236
3.4201 -0.8110 6.4432
-3.5905 9.0724 -1.1326
```

(19)
RbCa2Sc2: relaxed, GGA-PBE. Values from VASP.

Results
offset from the most stable computed form = 0 kJ/mol of formula units
formation enthalpy at 0 K = 420 meV per atom
M_tot = 2.41 μB per formula unit
crystal system = tetragonal

Geometry as Quantum ESPRESSO input:
```
&SYSTEM
  ibrav = 0, nat = 10, ntyp = 3
/
ATOMIC_SPECIES
Rb 85.47 Rb.upf
Sc 44.96 Sc.upf
Ca 40.08 Ca.upf
ATOMIC_POSITIONS angstrom
Rb 0.0000 0.0000 0.0000
Rb 5.1883 5.1883 0.0000
Sc 6.2603 1.0720 0.0000
Sc 1.0720 4.1163 0.0000
Sc 4.1163 9.3046 0.0000
Sc 9.3046 6.2603 0.0000
Ca 8.5353 3.3470 1.8356
Ca 1.8413 7.0296 1.8356
Ca 3.3470 1.8413 1.8356
Ca 7.0296 8.5353 1.8356
CELL_PARAMETERS angstrom
10.3766 0.0000 0.0000
0.0000 10.3766 0.0000
0.0000 0.0000 3.6712
```

(20)
RbCaSc3: relaxed, GGA-PBE. Values from VASP.

Results
offset from the most stable computed form = 0 kJ/mol of formula units
formation enthalpy at 0 K = 1137 meV per atom
M_tot = 0.00 μB per formula unit
crystal system = cubic

Geometry as Quantum ESPRESSO input:
```
&SYSTEM
  ibrav = 0, nat = 5, ntyp = 3
/
ATOMIC_SPECIES
Ca 40.08 Ca.upf
Sc 44.96 Sc.upf
Rb 85.47 Rb.upf
ATOMIC_POSITIONS angstrom
Ca 0.0000 0.0000 0.0000
Sc 0.0000 0.0000 2.8520
Sc 2.8520 0.0000 0.0000
Sc 0.0000 2.8520 0.0000
Rb 2.8520 2.8520 2.8520
CELL_PARAMETERS angstrom
5.7040 0.0000 0.0000
0.0000 5.7040 0.0000
0.0000 0.0000 5.7040
```